Crystalline InCo17 at its relaxed geometry. Source: the Open Quantum Materials Database, functional PBE-GGA.

- total DFT energy (no corrections) (eV per atom) = -6.734
- theoretical density (Mg/m³) = 5.9
- size of the total moment (μB/cell) = 54.4

Unit cell a=4.2816 b=4.9437 c=29.8558 alpha=90.00 beta=90.01 gamma=90.00
Closest atoms and distances in Å follow each position.
Sites, in units of the cell vectors:
Co (0.5000, 0.0000, 0.0000)  12 Co 2.47-2.49
Co (0.5000, 0.5000, 0.0000)  12 Co 2.47-2.49
Co (0.0000, 0.2500, 0.0002)  12 Co 2.47-2.49
Co (0.3334, 0.2500, 0.0678)  12 Co 2.47-2.49
Co (0.8339, 0.5002, 0.0681)  12 Co 2.47-2.51
Co (0.8339, 0.9998, 0.0681)  12 Co 2.47-2.51
Co (0.3337, 0.7500, 0.0682)  12 Co 2.47-2.49
Co (0.1658, 0.0007, 0.1357)  12 Co 2.46-2.49
Co (0.1658, 0.4993, 0.1357)  12 Co 2.46-2.49
Co (0.6689, 0.2500, 0.1358)  12 Co 2.46-2.49
Co (0.6633, 0.7500, 0.1369)  12 Co 2.46-2.51
Co (0.0000, 0.7500, 0.2038)  12 Co 2.43-2.48
Co (0.9985, 0.2500, 0.2041)  11 Co 2.45-2.49
Co (0.4985, 0.0026, 0.2043)  11 Co 2.41-2.50
Co (0.4985, 0.4974, 0.2043)  11 Co 2.41-2.50
Co (0.3366, 0.7500, 0.2694)  7 Co 2.41-2.46, 2 In 2.64
Co (0.8350, 0.5055, 0.2702)  7 Co 2.42-2.53, 2 In 2.64
Co (0.8350, 0.9945, 0.2702)  7 Co 2.42-2.53, 2 In 2.64
Co (0.1650, 0.0055, 0.7298)  7 Co 2.42-2.53, 2 In 2.64
Co (0.1650, 0.4945, 0.7298)  7 Co 2.42-2.53, 2 In 2.64
Co (0.6634, 0.2500, 0.7306)  7 Co 2.41-2.46, 2 In 2.64
Co (0.5015, 0.5026, 0.7957)  11 Co 2.41-2.50
Co (0.5015, 0.9974, 0.7957)  11 Co 2.41-2.50
Co (0.0015, 0.7500, 0.7959)  11 Co 2.45-2.49
Co (0.0000, 0.2500, 0.7962)  12 Co 2.43-2.48
Co (0.3367, 0.2500, 0.8631)  12 Co 2.46-2.51
Co (0.3311, 0.7500, 0.8642)  12 Co 2.46-2.49
Co (0.8342, 0.5007, 0.8643)  12 Co 2.46-2.49
Co (0.8342, 0.9993, 0.8643)  12 Co 2.46-2.49
Co (0.6663, 0.2500, 0.9318)  12 Co 2.47-2.49
Co (0.1661, 0.0002, 0.9319)  12 Co 2.47-2.51
Co (0.1661, 0.4998, 0.9319)  12 Co 2.47-2.51
Co (0.6666, 0.7500, 0.9322)  12 Co 2.47-2.49
Co (0.0000, 0.7500, 0.9998)  12 Co 2.47-2.49
In (0.3350, 0.2500, 0.3000)  6 Co 2.64
In (0.6650, 0.7500, 0.7000)  6 Co 2.64